(1)
## LiHgPb2 (GGA-PBEsol)

Data for a relaxed structure of LiHgPb2.

The structure in POSCAR format:
```
LiHgPb2
1.0
3.5585 0.0000 0.0000
0.0000 4.7280 0.0000
-1.7059 0.0000 5.8576
Li Hg Pb
1 1 2
Cartesian
0.0000 0.0000 0.0000
1.8554 2.3640 4.3778
0.0574 0.0000 3.0683
1.7820 2.3640 1.1993
```

Properties
Energy relative to the elements ... -0.149 eV per atom
Space-group type ... No. 6
Density of states at the Fermi level ... 1.34 states/eV/f.u.


(2)
## KMnRe2 (GGA-PBEsol)

Data for a relaxed structure of KMnRe2.

The structure in POSCAR format:
```
KMnRe2
1.0
-1.8606 1.8606 4.9216
1.8606 -1.8606 4.9216
1.8606 1.8606 -4.9216
K Mn Re
1 1 2
Cartesian
0.0000 0.0000 0.0000
0.0000 0.0000 4.9216
1.8606 0.0000 2.4608
0.0000 1.8606 2.4608
```

Properties
Energy relative to the elements ... 1.700 eV per atom
Space-group type ... No. 139
Density of states at the Fermi level ... 4.04 states/eV/f.u.
Excess energy over the best structure of this formula in the dataset ... 0.906 eV/atom


(3)
## LaHg2Se (GGA-PBEsol)

Data for a relaxed structure of LaHg2Se.

The structure in POSCAR format:
```
LaHg2Se
1.0
4.9094 -2.1174 0.0000
4.9094 2.1174 0.0000
-1.9028 0.0000 5.0921
La Hg Se
1 2 1
Cartesian
0.0000 0.0000 0.0000
1.0392 0.0000 3.1952
3.8725 0.0000 2.3695
6.9018 0.0000 0.3545
```

Properties
Formation energy without anion corrections ... -0.78 eV per atom
Space-group type ... No. 8
Density of states at the Fermi level ... 2.46 states/eV/f.u.


(4)
## Sr2AlMoCl (GGA-PBEsol)

Data for a relaxed structure of Sr2AlMoCl.

The structure in POSCAR format:
```
Sr2AlMoCl
1.0
6.2417 0.0000 0.0000
0.0000 6.2417 0.0000
0.0000 0.0000 4.9110
Sr Al Mo Cl
2 1 1 1
Cartesian
0.0000 3.1208 0.0000
3.1208 0.0000 0.0000
0.0000 0.0000 0.0000
3.1208 3.1208 2.4555
0.0000 0.0000 2.4555
```

Properties
Formation energy without anion corrections ... 0.90 eV per atom
Space-group type ... No. 123
Density of states at the Fermi level ... 3.08 states/eV/f.u.


(5)
## Li2CrOs (GGA-PBEsol)

Data for a relaxed structure of Li2CrOs.

The structure in POSCAR format:
```
Li2CrOs
1.0
0.0000 2.9000 2.9000
2.9000 0.0000 2.9000
2.9000 2.9000 0.0000
Li Cr Os
2 1 1
Cartesian
1.4500 1.4500 1.4500
4.3500 4.3500 4.3500
0.0000 0.0000 0.0000
2.9000 2.9000 2.9000
```

Properties
Energy relative to the elements ... 0.812 eV per atom
Space-group type ... No. 225
Density of states at the Fermi level ... 3.90 states/eV/f.u.
Excess energy over the best structure of this formula in the dataset ... 0.357 eV/atom


(6)
## ZnAg5 (GGA-PBEsol)

Data for a relaxed structure of ZnAg5.

The structure in POSCAR format:
```
ZnAg5
1.0
4.9050 0.0000 0.0000
-2.4525 4.2478 0.0000
0.0000 0.0000 4.6237
Zn Ag
1 5
Cartesian
0.0000 0.0000 0.0000
-1.6473 2.8532 2.3118
0.8052 1.3946 2.3118
0.0000 2.8319 0.0000
2.4525 1.4159 0.0000
3.2946 0.0000 2.3118
```

Properties
Energy relative to the elements ... -0.021 eV per atom
Space-group type ... No. 189
Density of states at the Fermi level ... 1.71 states/eV/f.u.
Excess energy over the best structure of this formula in the dataset ... 0.003 eV/atom


(7)
## LaMg2Mo (GGA-PBEsol)

Data for a relaxed structure of LaMg2Mo.

The structure in POSCAR format:
```
LaMg2Mo
1.0
5.3469 -1.5087 0.0000
5.3469 1.5087 0.0000
-1.5731 0.0000 5.4355
La Mg Mo
1 2 1
Cartesian
0.0000 0.0000 0.0000
1.2335 0.0000 3.3516
3.9993 0.0000 2.4978
7.8339 0.0000 0.5948
```

Properties
Energy relative to the elements ... 0.416 eV per atom
Space-group type ... No. 8
Density of states at the Fermi level ... 3.05 states/eV/f.u.
Excess energy over the best structure of this formula in the dataset ... 0.088 eV/atom


(8)
## BOs3F (GGA-PBEsol)

Data for a relaxed structure of BOs3F.

The structure in POSCAR format:
```
BOs3F
1.0
4.0887 0.0000 0.0000
0.0000 4.0887 0.0000
0.0000 0.0000 4.0887
B Os F
1 3 1
Cartesian
0.0000 0.0000 0.0000
0.0000 2.0443 2.0443
2.0443 0.0000 2.0443
2.0443 2.0443 0.0000
2.0443 2.0443 2.0443
```

Properties
Formation energy without anion corrections ... 2.53 eV per atom
Space-group type ... No. 221
Density of states at the Fermi level ... 7.06 states/eV/f.u.


Look up the density of states at the Fermi level of the fifth one.
3.90 states/eV/f.u.


Among the records above, which one has the highest density of states at the Fermi level?
BOs3F


Repeat the fourth record exactly.
## Sr2AlMoCl (GGA-PBEsol)

Data for a relaxed structure of Sr2AlMoCl.

The structure in POSCAR format:
```
Sr2AlMoCl
1.0
6.2417 0.0000 0.0000
0.0000 6.2417 0.0000
0.0000 0.0000 4.9110
Sr Al Mo Cl
2 1 1 1
Cartesian
0.0000 3.1208 0.0000
3.1208 0.0000 0.0000
0.0000 0.0000 0.0000
3.1208 3.1208 2.4555
0.0000 0.0000 2.4555
```

Properties
Formation energy without anion corrections ... 0.90 eV per atom
Space-group type ... No. 123
Density of states at the Fermi level ... 3.08 states/eV/f.u.